[1]
A plane-wave DFT calculation with GGA-PBE was carried out for a relaxed structure of Cs2CaH.

The structure in CIF format:
```
data_Cs2CaH
_cell_length_a 4.472
_cell_length_b 10.811
_cell_length_c 10.839
_cell_angle_alpha 90.00
_cell_angle_beta 90.00
_cell_angle_gamma 90.00
_space_group_name_H-M_alt 'A m m 2'
_space_group_IT_number 38
loop_
_space_group_symop_operation_xyz
'x,y,z'
'-x,-y,z'
'-x,y,z'
'x,-y,z'
'x,y+1/2,z+1/2'
'-x,-y+1/2,z+1/2'
'-x,y+1/2,z+1/2'
'x,-y+1/2,z+1/2'
loop_
_atom_site_label
_atom_site_type_symbol
_atom_site_fract_x
_atom_site_fract_y
_atom_site_fract_z
Cs1 Cs 0.000 0.245 0.000
Ca1 Ca 0.500 0.000 0.233
H1 H 0.000 0.000 0.168
```

## Properties
- DOS at the Fermi energy (states/eV per atom) = 0.48
- ΔE to the lowest computed polymorph (eV/atom) = 0.060
- volume (Å³/atom) = 65.50
- energy (eV per atom) = -1.68
- density (g cm⁻³) = 1.94

[2]
A plane-wave DFT calculation with GGA-PBE was carried out for a relaxed structure of Cs2CaH.

The structure in CIF format:
```
data_Cs2CaH
_cell_length_a 4.758
_cell_length_b 4.868
_cell_length_c 9.892
_cell_angle_alpha 104.01
_cell_angle_beta 103.54
_cell_angle_gamma 90.01
_space_group_name_H-M_alt 'P -1'
_space_group_IT_number 2
loop_
_space_group_symop_operation_xyz
'x,y,z'
'-x,-y,-z'
loop_
_atom_site_label
_atom_site_type_symbol
_atom_site_fract_x
_atom_site_fract_y
_atom_site_fract_z
Cs1 Cs 0.135 0.136 0.276
Ca1 Ca 0.500 0.500 0.000
H1 H 0.500 0.000 0.000
```

## Properties
- DOS at the Fermi energy (states/eV per atom) = 0.45
- ΔE to the lowest computed polymorph (eV/atom) = 0.000
- volume (Å³/atom) = 53.94
- energy (eV per atom) = -1.74
- density (g cm⁻³) = 2.36

[3]
A plane-wave DFT calculation with GGA-PBE was carried out for a relaxed structure of Cs2CaH.

The structure in CIF format:
```
data_Cs2CaH
_cell_length_a 7.691
_cell_length_b 4.375
_cell_length_c 7.691
_cell_angle_alpha 90.00
_cell_angle_beta 93.47
_cell_angle_gamma 90.00
_space_group_name_H-M_alt 'P 1 m 1'
_space_group_IT_number 6
loop_
_space_group_symop_operation_xyz
'x,y,z'
'x,-y,z'
loop_
_atom_site_label
_atom_site_type_symbol
_atom_site_fract_x
_atom_site_fract_y
_atom_site_fract_z
Cs1 Cs 0.000 0.000 0.000
Cs2 Cs 0.419 0.000 0.422
Ca1 Ca 0.951 0.500 0.468
H1 H 0.148 0.500 0.271
```

## Properties
- DOS at the Fermi energy (states/eV per atom) = 0.68
- ΔE to the lowest computed polymorph (eV/atom) = 0.051
- volume (Å³/atom) = 64.59
- energy (eV per atom) = -1.68
- density (g cm⁻³) = 1.97

[4]
A plane-wave DFT calculation with GGA-PBE was carried out for a relaxed structure of Cs2CaH.

The structure in CIF format:
```
data_Cs2CaH
_cell_length_a 9.222
_cell_length_b 9.222
_cell_length_c 11.393
_cell_angle_alpha 90.00
_cell_angle_beta 90.00
_cell_angle_gamma 90.00
_space_group_name_H-M_alt 'I -4 2 d'
_space_group_IT_number 122
_space_group_name_Hall 'I -4 2bw'
loop_
_atom_site_label
_atom_site_type_symbol
_atom_site_fract_x
_atom_site_fract_y
_atom_site_fract_z
Cs1 Cs 0.103 0.750 0.125
Ca1 Ca 0.000 0.000 0.500
H1 H 0.000 0.000 0.000
```

## Properties
- DOS at the Fermi energy (states/eV per atom) = 0.67
- ΔE to the lowest computed polymorph (eV/atom) = 0.183
- volume (Å³/atom) = 60.55
- energy (eV per atom) = -1.55
- density (g cm⁻³) = 2.10

[5]
A plane-wave DFT calculation with GGA-PBE was carried out for a relaxed structure of Cs2CaH3.

The structure in CIF format:
```
data_Cs2CaH3
_cell_length_a 12.711
_cell_length_b 7.166
_cell_length_c 7.615
_cell_angle_alpha 90.00
_cell_angle_beta 107.46
_cell_angle_gamma 90.00
_space_group_name_H-M_alt 'C 1 2/c 1'
_space_group_IT_number 15
loop_
_space_group_symop_operation_xyz
'x,y,z'
'-x,-y,-z'
'-x,y,-z+1/2'
'x,-y,z+1/2'
'x+1/2,y+1/2,z'
'-x+1/2,-y+1/2,-z'
'-x+1/2,y+1/2,-z+1/2'
'x+1/2,-y+1/2,z+1/2'
loop_
_atom_site_label
_atom_site_type_symbol
_atom_site_fract_x
_atom_site_fract_y
_atom_site_fract_z
Cs1 Cs 0.163 0.001 0.084
Ca1 Ca 0.000 0.481 0.750
H1 H 0.000 0.174 0.750
H2 H 0.122 0.491 0.062
```

## Properties
- DOS at the Fermi energy (states/eV per atom) = 0.35
- volume (Å³/atom) = 27.57
- energy (eV per atom) = -2.46
- density (g cm⁻³) = 3.10

[6]
A plane-wave DFT calculation with GGA-PBE was carried out for a relaxed structure of CsCa6H12.

The structure in CIF format:
```
data_CsCa6H12
_cell_length_a 11.0256
_cell_length_b 11.0256
_cell_length_c 8.0087
_cell_angle_alpha 90.00
_cell_angle_beta 90.00
_cell_angle_gamma 120.00
_space_group_name_H-M_alt 'R -3 m'
_space_group_IT_number 166
_space_group_name_Hall '-R 3 2"'
loop_
_atom_site_label
_atom_site_type_symbol
_atom_site_fract_x
_atom_site_fract_y
_atom_site_fract_z
Cs1 Cs 0.0000 0.0000 0.0000
Ca1 Ca 0.0642 0.5321 0.2883
H1 H 0.0000 0.3701 0.5000
H2 H 0.0902 0.1804 0.3561
```

## Properties
- DOS at the Fermi energy (states/eV per atom) = 0.22
- volume (Å³/atom) = 14.79
- energy (eV per atom) = -3.20
- density (g cm⁻³) = 2.28

[7]
A plane-wave DFT calculation with GGA-PBE was carried out for a relaxed structure of Cs3CaH4.

The structure in CIF format:
```
data_Cs3CaH4
_cell_length_a 6.931
_cell_length_b 10.662
_cell_length_c 6.983
_cell_angle_alpha 90.00
_cell_angle_beta 90.00
_cell_angle_gamma 90.00
_space_group_name_H-M_alt 'I m m 2'
_space_group_IT_number 44
loop_
_space_group_symop_operation_xyz
'x,y,z'
'-x,-y,z'
'-x,y,z'
'x,-y,z'
'x+1/2,y+1/2,z+1/2'
'-x+1/2,-y+1/2,z+1/2'
'-x+1/2,y+1/2,z+1/2'
'x+1/2,-y+1/2,z+1/2'
loop_
_atom_site_label
_atom_site_type_symbol
_atom_site_fract_x
_atom_site_fract_y
_atom_site_fract_z
Cs1 Cs 0.000 0.000 0.000
Cs2 Cs 0.000 0.230 0.493
Ca1 Ca 0.000 0.500 0.989
H1 H 0.000 0.286 0.018
H2 H 0.224 0.000 0.341
```

## Properties
- DOS at the Fermi energy (states/eV per atom) = 0.09
- volume (Å³/atom) = 32.25
- energy (eV per atom) = -2.41
- density (g cm⁻³) = 2.85

[8]
A plane-wave DFT calculation with GGA-PBE was carried out for a relaxed structure of CsCa2H.

The structure in CIF format:
```
data_CsCa2H
_cell_length_a 7.839
_cell_length_b 7.839
_cell_length_c 11.082
_cell_angle_alpha 90.00
_cell_angle_beta 90.00
_cell_angle_gamma 90.00
_space_group_name_H-M_alt 'I -4 2 d'
_space_group_IT_number 122
_space_group_name_Hall 'I -4 2bw'
loop_
_atom_site_label
_atom_site_type_symbol
_atom_site_fract_x
_atom_site_fract_y
_atom_site_fract_z
Cs1 Cs 0.000 0.000 0.000
Ca1 Ca 0.001 0.250 0.625
H1 H 0.000 0.000 0.500
```

## Properties
- DOS at the Fermi energy (states/eV per atom) = 0.00
- ΔE to the lowest computed polymorph (eV/atom) = 0.000
- volume (Å³/atom) = 42.56
- energy (eV per atom) = -2.06
- density (g cm⁻³) = 2.09

[9]
A plane-wave DFT calculation with GGA-PBE was carried out for a relaxed structure of Cs2CaH2.

The structure in CIF format:
```
data_Cs2CaH2
_cell_length_a 5.543
_cell_length_b 5.543
_cell_length_c 13.966
_cell_angle_alpha 90.00
_cell_angle_beta 90.00
_cell_angle_gamma 90.00
_space_group_name_H-M_alt 'I 4/m m m'
_space_group_IT_number 139
_space_group_name_Hall '-I 4 2'
loop_
_atom_site_label
_atom_site_type_symbol
_atom_site_fract_x
_atom_site_fract_y
_atom_site_fract_z
Cs1 Cs 0.000 0.000 0.172
Ca1 Ca 0.000 0.000 0.500
H1 H 0.000 0.500 0.250
```

## Properties
- ΔE to the lowest computed polymorph (eV/atom) = 0.114
- volume (Å³/atom) = 42.90
- energy (eV per atom) = -1.85
- density (g cm⁻³) = 2.38

[10]
A plane-wave DFT calculation with GGA-PBE was carried out for a relaxed structure of Cs2CaH.

The structure in CIF format:
```
data_Cs2CaH
_cell_length_a 13.850
_cell_length_b 7.052
_cell_length_c 4.316
_cell_angle_alpha 90.00
_cell_angle_beta 90.53
_cell_angle_gamma 90.00
_space_group_name_H-M_alt 'C 1 2 1'
_space_group_IT_number 5
loop_
_space_group_symop_operation_xyz
'x,y,z'
'-x,y,-z'
'x+1/2,y+1/2,z'
'-x+1/2,y+1/2,-z'
loop_
_atom_site_label
_atom_site_type_symbol
_atom_site_fract_x
_atom_site_fract_y
_atom_site_fract_z
Cs1 Cs 0.148 0.000 0.005
Ca1 Ca 0.000 0.458 0.500
H1 H 0.000 0.142 0.500
```

## Properties
- DOS at the Fermi energy (states/eV per atom) = 0.57
- ΔE to the lowest computed polymorph (eV/atom) = 0.009
- volume (Å³/atom) = 52.69
- energy (eV per atom) = -1.73
- density (g cm⁻³) = 2.42

[11]
A plane-wave DFT calculation with GGA-PBE was carried out for a relaxed structure of Cs2CaH.

The structure in CIF format:
```
data_Cs2CaH
_cell_length_a 4.079
_cell_length_b 7.215
_cell_length_c 7.821
_cell_angle_alpha 62.72
_cell_angle_beta 75.37
_cell_angle_gamma 89.99
_space_group_name_H-M_alt 'P 1'
_space_group_IT_number 1
loop_
_space_group_symop_operation_xyz
'x,y,z'
loop_
_atom_site_label
_atom_site_type_symbol
_atom_site_fract_x
_atom_site_fract_y
_atom_site_fract_z
Cs1 Cs 0.000 0.000 0.000
Cs2 Cs 0.339 0.339 0.328
Ca1 Ca 0.635 0.643 0.720
H1 H 0.034 0.542 0.930
```

## Properties
- DOS at the Fermi energy (states/eV per atom) = 0.54
- ΔE to the lowest computed polymorph (eV/atom) = 0.038
- volume (Å³/atom) = 49.04
- energy (eV per atom) = -1.70
- density (g cm⁻³) = 2.60

Question: Look up the density of the sixth one.
Answer: 2.28 g cm⁻³